Compound: RbPuMnTe3
Source: Alexandria via LeMat-Bulk
Functional: GGA-PBE
Structure: optimized geometry

a b c (Å): 4.5511 9.9479 10.6304
angles (deg): 109.25 90.00 90.00
Closest atoms and distances in Å follow each position.
Atoms (fractional coordinates):
Te 0.7500 0.4688 0.1642  3 Pu 3.10-3.11
Rb 0.7500 0.7879 0.7583  7 Te 3.71-3.89
Te 0.2500 0.5312 0.8358  3 Pu 3.10-3.11
Te 0.7500 0.8901 0.1393  1 Mn 2.67
Pu 0.2500 0.6726 0.1428  6 Te 3.10-3.22
Mn 0.2500 0.0850 0.6031  4 Te 2.67-2.78
Te 0.2500 0.7944 0.4634  3 Mn 2.77-2.78
Rb 0.2500 0.2121 0.2417  7 Te 3.71-3.89
Mn 0.7500 0.9150 0.3969  4 Te 2.67-2.78
Te 0.2500 0.1099 0.8607  1 Mn 2.67
Te 0.7500 0.2056 0.5366  3 Mn 2.77-2.78
Pu 0.7500 0.3274 0.8572  6 Te 3.10-3.22

Summary:
- ΔE_f (raw) (kcal/mol of atoms) = -18.1
- symmetry = P2_1/m (11)

=====

Compound: Rb3Pu2MnTe6
Source: Alexandria via LeMat-Bulk
Functional: GGA-PBE
Structure: optimized geometry

a b c (Å): 7.7958 7.7958 8.8427
angles (deg): 98.48 98.48 120.01
Closest atoms and distances in Å follow each position.
Atoms (fractional coordinates):
Te 0.0634 0.3806 0.1904  1 Mn 2.95, 2 Pu 3.11-3.12
Pu 0.3337 0.6663 0.0000  6 Te 3.11-3.12
Te 0.2533 0.2533 0.8078  1 Mn 2.96, 2 Pu 3.11
Mn 0.0000 0.0000 0.0000  6 Te 2.95-2.96
Rb 0.8298 0.1702 0.5000  6 Te 3.65-3.75
Pu 0.6663 0.3337 0.0000  6 Te 3.11-3.12
Te 0.3806 0.0634 0.1904  1 Mn 2.95, 2 Pu 3.11-3.12
Te 0.7467 0.7467 0.1922  1 Mn 2.96, 2 Pu 3.11
Te 0.9366 0.6194 0.8096  1 Mn 2.95, 2 Pu 3.11-3.12
Te 0.6194 0.9366 0.8096  1 Mn 2.95, 2 Pu 3.11-3.12
Rb 0.5000 0.5000 0.5000  6 Te 3.64-3.77
Rb 0.1702 0.8298 0.5000  6 Te 3.65-3.75

Summary:
- ΔE_f (raw) (kcal/mol of atoms) = -20.3
- symmetry = C2/m (12)

=====

Compound: Pu2MnRe3
Source: Alexandria via LeMat-Bulk
Functional: GGA-PBE
Structure: optimized geometry

a b c (Å): 5.3153 5.3153 5.3934
angles (deg): 90.17 119.46 119.87
Closest atoms and distances in Å follow each position.
Atoms (fractional coordinates):
Re 0.0000 0.0000 0.5000  4 Re 2.66, 2 Mn 2.70
Mn 0.0000 0.0000 0.0000  6 Re 2.70
Re 0.5000 0.5000 0.5000  4 Re 2.66, 2 Mn 2.70
Pu 0.2491 0.6244 0.8736  3 Mn 3.12, 9 Re 3.13-3.18, 4 Pu 3.27-3.31
Pu 0.7509 0.3756 0.1264  3 Mn 3.12, 9 Re 3.13-3.18, 4 Pu 3.27-3.31
Re 0.5000 0.0000 0.5000  4 Re 2.66, 2 Mn 2.70

Summary:
- energy of formation from the pure elements (eV/f.u.) = 0.6
- symmetry = C2/m (12)

=====

Compound: PuScMnRe
Source: Alexandria via LeMat-Bulk
Functional: GGA-PBE
Structure: optimized geometry

a b c (Å): 4.6708 4.6708 4.6708
angles (deg): 60.00 60.00 60.00
Closest atoms and distances in Å follow each position.
Atoms (fractional coordinates):
Re 0.5000 0.5000 0.5000  4 Sc 2.86, 4 Pu 2.86
Mn 0.0000 0.0000 0.0000  4 Pu 2.86, 4 Sc 2.86
Pu 0.7500 0.7500 0.7500  4 Mn 2.86, 4 Re 2.86
Sc 0.2500 0.2500 0.2500  4 Mn 2.86, 4 Re 2.86

Summary:
- energy of formation from the pure elements (eV/f.u.) = 0.2
- symmetry = F-43m (216)